Record 1
## KTl2Te (PBEsol)

Data for a geometry-optimized KTl2Te structure.

Output
Formation energy without anion corrections (kJ/mol of atoms): -36.4
Uncorrected energy (eV per atom): -2.8573
Crystal system: monoclinic

Lattice parameters (Å, degrees): 4.0867 5.4911 6.6064 114.36 108.02 90.00
Last column: nearest neighbours and their distance in Å.
Positions (direct):
1 K 0.5000 0.0000 0.0000  4 Te 3.42, 8 Tl 3.71-3.76
2 Tl 0.2787 0.2788 0.5574  2 Te 3.23, 4 Tl 3.48-3.49
3 Tl 0.7213 0.7212 0.4426  2 Te 3.23, 4 Tl 3.48-3.49
4 Te 0.0000 0.5000 0.0000  4 Tl 3.23, 4 K 3.42


Record 2
## CsCr5S8 (PBEsol)

Data for a geometry-optimized CsCr5S8 structure.

Output
Formation energy without anion corrections (kJ/mol of atoms): -72.3
Uncorrected energy (eV per atom): -6.9799
Crystal system: monoclinic

Lattice parameters (Å, degrees): 3.4488 8.6394 9.1832 101.40 100.82 90.00
Last column: nearest neighbours and their distance in Å.
Positions (direct):
1 S 0.2377 0.1583 0.4754  5 Cr 2.41-2.49
2 S 0.7623 0.8417 0.5246  5 Cr 2.41-2.49
3 S 0.8221 0.5019 0.6441  3 Cr 2.32-2.33
4 S 0.5728 0.1583 0.1457  4 Cr 2.38-2.54
5 Cr 0.2970 0.6632 0.5940  6 S 2.32-2.54
6 Cr 0.6619 0.9886 0.3238  6 S 2.29-2.49
7 Cr 0.7030 0.3368 0.4060  6 S 2.32-2.54
8 S 0.0958 0.8507 0.1916  3 Cr 2.29-2.36
9 Cs 0.0000 0.5000 0.0000  4 S 3.17-3.21, 2 Cs 3.45
10 S 0.9042 0.1493 0.8084  3 Cr 2.29-2.36
11 Cr 0.3381 0.0114 0.6762  6 S 2.29-2.49
12 S 0.4272 0.8417 0.8543  4 Cr 2.38-2.54
13 Cr 0.0000 0.0000 0.0000  6 S 2.36-2.42
14 S 0.1779 0.4981 0.3559  3 Cr 2.32-2.33


Record 3
## NiMoPt2 (PBEsol)

Data for a geometry-optimized NiMoPt2 structure.

Output
Uncorrected energy (eV per atom): -8.1669
Crystal system: orthorhombic

Lattice parameters (Å, degrees): 2.7141 3.8090 5.3819 90.00 90.00 90.00
Last column: nearest neighbours and their distance in Å.
Positions (direct):
1 Ni 0.5000 0.5000 0.7445  6 Pt 2.59-2.79, 4 Mo 2.66, 2 Ni 2.71
2 Pt 0.0000 0.0000 0.9812  1 Mo 2.53, 4 Ni 2.66, 6 Pt 2.71-2.79
3 Pt 0.5000 0.5000 0.2637  2 Ni 2.59-2.79, 4 Mo 2.69, 6 Pt 2.71-2.79
4 Mo 0.0000 0.0000 0.5106  5 Pt 2.53-2.69, 4 Ni 2.66, 2 Mo 2.71


Record 4
## KSr (PBEsol)

Data for a geometry-optimized KSr structure.

Output
Uncorrected energy (eV per atom): -1.4248
Crystal system: orthorhombic

Lattice parameters (Å, degrees): 4.1883 4.1883 14.5889 90.00 90.00 113.19
Last column: nearest neighbours and their distance in Å.
Positions (direct):
1 K 0.7500 0.2500 0.8659  8 K 4.19-4.61, 2 Sr 4.34
2 K 0.2500 0.7500 0.1340  8 K 4.19-4.61, 2 Sr 4.34
3 Sr 0.2500 0.7500 0.6140  6 Sr 4.05-4.19, 2 K 4.34
4 Sr 0.7500 0.2500 0.3860  6 Sr 4.05-4.19, 2 K 4.34


Record 5
## BaCuAsBr2 (PBEsol)

Data for a geometry-optimized BaCuAsBr2 structure.

Output
Formation energy without anion corrections (kJ/mol of atoms): 25.3
Uncorrected energy (eV per atom): -2.8039
Crystal system: tetragonal

Lattice parameters (Å, degrees): 6.0897 6.0897 6.5003 90.00 90.00 90.00
Last column: nearest neighbours and their distance in Å.
Positions (direct):
1 Br 0.5000 0.0000 0.0000  2 Ba 3.04
2 Cu 0.5000 0.5000 0.5000  4 As 4.31, 8 Br 4.45
3 Br 0.0000 0.5000 0.0000  2 Ba 3.04
4 Ba 0.0000 0.0000 0.0000  4 Br 3.04, 2 As 3.25
5 As 0.0000 0.0000 0.5000  2 Ba 3.25


Record 6
## CuAgSb3 (PBEsol)

Data for a geometry-optimized CuAgSb3 structure.

Output
Formation energy without anion corrections (kJ/mol of atoms): 98.6
Uncorrected energy (eV per atom): -3.2420
Crystal system: cubic

Lattice parameters (Å, degrees): 5.2394 5.2394 5.2394 90.00 90.00 90.00
Last column: nearest neighbours and their distance in Å.
Positions (direct):
1 Sb 0.5000 0.0000 0.0000  2 Ag 2.62
2 Ag 0.0000 0.0000 0.0000  6 Sb 2.62
3 Sb 0.0000 0.0000 0.5000  2 Ag 2.62
4 Cu 0.5000 0.5000 0.5000  12 Sb 3.70
5 Sb 0.0000 0.5000 0.0000  2 Ag 2.62


Record 7
## K2SrLa (PBEsol)

Data for a geometry-optimized K2SrLa structure.

Output
Uncorrected energy (eV per atom): -2.0228
Crystal system: monoclinic

Lattice parameters (Å, degrees): 3.8317 7.2209 7.2718 90.00 90.00 93.77
Last column: nearest neighbours and their distance in Å.
Positions (direct):
1 K 0.2629 0.2554 0.0000  6 K 3.83-4.22, 2 La 4.19, 2 Sr 4.20
2 La 0.0000 0.5000 0.5000  2 La 3.83, 4 Sr 3.97-4.20, 4 K 4.19
3 Sr 0.5000 0.0000 0.5000  2 Sr 3.83, 4 La 3.97-4.20, 4 K 4.20
4 K 0.7371 0.7446 0.0000  6 K 3.83-4.22, 2 La 4.19, 2 Sr 4.20


Record 8
## ScSbRh2 (PBEsol)

Data for a geometry-optimized ScSbRh2 structure.

Output
Formation energy without anion corrections (kJ/mol of atoms): -38.7
Uncorrected energy (eV per atom): -7.2612
Crystal system: cubic

Lattice parameters (Å, degrees): 4.5442 4.5442 4.5442 60.00 60.00 60.00
Last column: nearest neighbours and their distance in Å.
Positions (direct):
1 Sc 0.2500 0.2500 0.2500  4 Sb 2.78, 4 Rh 2.78
2 Rh 0.7500 0.7500 0.7500  4 Sb 2.78, 4 Rh 2.78
3 Rh 0.0000 0.0000 0.0000  4 Sc 2.78, 4 Rh 2.78
4 Sb 0.5000 0.5000 0.5000  4 Rh 2.78, 4 Sc 2.78


Q: Which formula does entry 8 have?
A: ScSbRh2


Q: What is the uncorrected energy in the third record?
A: -8.1669 eV per atom


Q: Among the records above, which one has the lowest uncorrected energy?
A: NiMoPt2